VASP calculation (GGA+U) on CoPPt2O after structural relaxation.

Values from the calculation:
energy: -27.4 eV for the cell shown

Unit cell a=4.651 b=4.651 c=3.379 alpha=90.00 beta=90.00 gamma=90.00
Sites, in units of the cell vectors:
Co (0.000, 0.000, 0.000)
P (0.500, 0.500, 0.500)
Pt (0.000, 0.500, 0.500)
Pt (0.500, 0.000, 0.500)
O (0.500, 0.500, 0.000)